VASP calculation (PBE) on an optimized crystal structure of AcPuGePt.

Unit cell a=7.425 b=7.425 c=7.425 alpha=90.00 beta=90.00 gamma=90.00
Space group F-43m (No. 216)
Asymmetric unit:
Ac1 0.000 0.000 0.000 (multiplicity 4)
Pu1 0.000 0.000 0.500 (multiplicity 4)
Ge1 0.250 0.250 0.250 (multiplicity 4)
Pt1 0.250 0.250 0.750 (multiplicity 4)

Computed properties:
calculated formation energy	-0.5850	eV/atom
spin magnetization	5.20	μB per formula unit
calculated volume	25.6	Å³/atom